This record from OQMD via LeMat-Bulk describes a geometry-optimized SnMo4AsC2 structure. The functional is PBE.

abc: 3.208 3.208 12.826
angles: 90.00 90.00 120.00
Positions (direct):
Sn 0.000 0.000 0.000
Mo 0.000 0.000 0.350
Mo 0.000 0.000 0.650
Mo 0.333 0.667 0.180
Mo 0.333 0.667 0.820
As 0.333 0.667 0.500
C 0.667 0.333 0.260
C 0.667 0.333 0.740

Results
Total moment ... 0.00 μB per formula unit
Crystal system ... hexagonal
E ... -8.834 eV/atom
SG ... P-6m2, No. 187



This record from OQMD via LeMat-Bulk describes a geometry-optimized CsPrSiSe4 structure. The functional is PBE.

abc: 6.857 7.134 9.836
angles: 90.00 108.13 90.00
Positions (direct):
Cs 0.230 0.000 0.435
Cs 0.770 0.500 0.565
Pr 0.272 0.981 0.954
Pr 0.728 0.481 0.046
Si 0.286 0.514 0.169
Si 0.714 0.014 0.831
Se 0.089 0.509 0.317
Se 0.090 0.566 0.937
Se 0.472 0.250 0.784
Se 0.486 0.248 0.199
Se 0.514 0.748 0.801
Se 0.528 0.750 0.216
Se 0.910 0.066 0.063
Se 0.911 0.009 0.683

Results
Total moment ... 0.00 μB per formula unit
Crystal system ... monoclinic
E ... -4.853 eV/atom
SG ... P2_1, No. 4



This record from OQMD via LeMat-Bulk describes a geometry-optimized LaAgO3 structure. The functional is PBE.

abc: 5.618 5.618 5.618
angles: 63.28 63.28 63.28
Positions (direct):
La 0.250 0.250 0.250
La 0.750 0.750 0.750
Ag 0.000 0.000 0.000
Ag 0.500 0.500 0.500
O 0.150 0.750 0.350
O 0.250 0.650 0.850
O 0.350 0.150 0.750
O 0.650 0.850 0.250
O 0.750 0.350 0.150
O 0.850 0.250 0.650

Results
Total moment ... 0.00 μB per formula unit
Crystal system ... trigonal
E ... -6.188 eV/atom
SG ... R-3c, No. 167



This record from OQMD via LeMat-Bulk describes a geometry-optimized PmHgNO structure. The functional is PBE.

abc: 8.295 8.022 4.187
angles: 90.00 90.12 90.00
Positions (direct):
Pm 0.000 0.250 0.000
Pm 0.000 0.750 0.000
Pm 0.500 0.250 0.000
Pm 0.500 0.750 0.000
Hg 0.227 0.000 0.500
Hg 0.228 0.500 0.500
Hg 0.727 0.500 0.500
Hg 0.728 0.000 0.500
N 0.153 0.000 0.000
N 0.154 0.500 0.000
N 0.653 0.500 0.000
N 0.654 0.000 0.000
O 0.403 0.249 0.500
O 0.403 0.751 0.500
O 0.903 0.251 0.500
O 0.903 0.749 0.500

Results
Total moment ... 0.00 μB per formula unit
Crystal system ... monoclinic
E ... -5.610 eV/atom
SG ... Cm, No. 8



This record from OQMD via LeMat-Bulk describes a geometry-optimized LuCoGeAu structure. The functional is PBE.

abc: 6.549 6.549 6.549
angles: 90.00 90.00 90.00
Positions (direct):
Lu 0.000 0.000 0.000
Lu 0.000 0.500 0.500
Lu 0.500 0.000 0.500
Lu 0.500 0.500 0.000
Co 0.000 0.000 0.500
Co 0.000 0.500 0.000
Co 0.500 0.000 0.000
Co 0.500 0.500 0.500
Ge 0.250 0.250 0.250
Ge 0.250 0.750 0.750
Ge 0.750 0.250 0.750
Ge 0.750 0.750 0.250
Au 0.250 0.250 0.750
Au 0.250 0.750 0.250
Au 0.750 0.250 0.250
Au 0.750 0.750 0.750

Results
Total moment ... 1.28 μB per formula unit
Crystal system ... cubic
E ... -5.138 eV/atom
SG ... F-43m, No. 216



This record from OQMD via LeMat-Bulk describes a geometry-optimized YBeCuSi structure. The functional is PBE.

abc: 6.313 6.313 6.313
angles: 90.00 90.00 90.00
Positions (direct):
Y 0.000 0.000 0.000
Y 0.000 0.500 0.500
Y 0.500 0.000 0.500
Y 0.500 0.500 0.000
Be 0.250 0.250 0.750
Be 0.250 0.750 0.250
Be 0.750 0.250 0.250
Be 0.750 0.750 0.750
Cu 0.000 0.000 0.500
Cu 0.000 0.500 0.000
Cu 0.500 0.000 0.000
Cu 0.500 0.500 0.500
Si 0.250 0.250 0.250
Si 0.250 0.750 0.750
Si 0.750 0.250 0.750
Si 0.750 0.750 0.250

Results
Total moment ... 0.00 μB per formula unit
Crystal system ... cubic
E ... -4.815 eV/atom
SG ... F-43m, No. 216



Which of these has the lowest E? SnMo4AsC2



Look up the total moment of the third one. 0.00 μB per formula unit